No. 1
PBE KMg2Mo, optimized geometry; space-group type = Pmmm, No. 47; E = -2.6817 eV/atom; M_tot = 3.6 μB per formula unit; density = 2.92 g/cm3; calculated formation energy = 25.3 kcal/mol of atoms; DOS at the Fermi energy = 0.59 states/eV per atom
1.0
-2.142 1.421 -2.455
-4.390 -2.045 2.647
-0.342 4.468 2.885
K Mg Mo
1 2 1
Cartesian
-2.366 1.211 2.766
0.000 0.000 0.000
-3.266 -0.312 0.096
-1.242 2.944 0.215

***

No. 2
PBE Tc2SbW, optimized geometry; space-group type = Cmmm, No. 65; ΔE_f (raw) = 0.472 eV/atom; E = -8.9797 eV/atom; M_tot = 0.0 μB per formula unit; density = 12.16 g/cm3; DOS at the Fermi energy = 1.08 states/eV per atom
1.0
-0.373 -2.838 -0.580
2.720 0.934 -0.507
2.211 -1.972 8.229
Sb Tc W
1 2 1
Cartesian
2.832 -2.431 5.628
0.037 -0.033 0.136
1.069 -0.953 3.978
1.726 -1.445 1.514

***

No. 3
PBE Be5Ni4Ru, optimized geometry; space-group type = P4/mmm, No. 123; E = -5.5143 eV/atom; M_tot = 0.0 μB per formula unit; density = 6.77 g/cm3; calculated formation energy = -9.5 kcal/mol of atoms; DOS at the Fermi energy = 0.60 states/eV per atom
1.0
-0.240 -2.554 -0.702
1.748 0.376 -1.969
9.883 -3.175 8.168
Be Ni Ru
5 4 1
Cartesian
1.870 -1.447 -0.413
3.774 -2.059 1.161
5.695 -2.676 2.749
7.616 -3.293 4.336
9.521 -3.905 5.910
2.072 -0.666 1.713
3.985 -1.280 3.293
5.898 -1.895 4.874
7.811 -2.509 6.455
0.000 0.000 0.000

***

No. 4
PBE La8Pr3Mg2, optimized geometry; space-group type = P-1, No. 2; E = -4.3818 eV/atom; M_tot = 0.0 μB per formula unit; density = 5.86 g/cm3; calculated formation energy = 0.0 kcal/mol of atoms; DOS at the Fermi energy = 1.49 states/eV per atom
1.0
-0.405 -2.279 5.909
-6.337 -6.003 1.833
4.196 -8.764 0.358
La Pr Mg
8 3 2
Cartesian
-0.180 -3.857 1.322
-2.366 -13.190 6.778
1.439 -10.049 1.362
-3.985 -6.997 6.738
2.508 -6.412 1.674
0.441 -8.126 4.313
-2.987 -8.920 3.787
-5.054 -10.634 6.426
-1.071 -7.384 1.095
-5.539 -6.298 3.469
2.994 -10.748 4.631
-2.125 -5.447 4.022
-0.420 -11.600 4.078

***

No. 5
PBE YMn4Re, optimized geometry; space-group type = F-43m, No. 216; E = -9.0723 eV/atom; M_tot = 4.0 μB per formula unit; density = 9.82 g/cm3; calculated formation energy = 4.4 kcal/mol of atoms; DOS at the Fermi energy = 1.30 states/eV per atom
1.0
0.000 3.472 3.472
3.472 0.000 3.472
3.472 3.472 0.000
Y Mn Re
1 4 1
Cartesian
0.000 0.000 0.000
2.608 4.336 4.336
4.336 4.336 2.608
4.336 2.608 4.336
2.608 2.608 2.608
5.208 5.208 5.208

***

No. 6
PBE PrAl2IO8, optimized geometry; space-group type = C2/m, No. 12; ΔE_f (raw) = -1.910 eV/atom; E = -6.3669 eV/atom; M_tot = 0.0 μB per formula unit; density = 5.05 g/cm3
1.0
-0.494 -0.343 -4.693
-1.608 -4.432 -0.405
-6.730 1.323 -0.486
Pr Al I O
1 2 1 8
Cartesian
-3.365 0.662 -0.243
-5.755 -1.193 -2.632
-3.076 -2.259 -2.952
0.000 0.000 0.000
-2.754 -3.217 -1.385
-1.894 -3.480 -3.806
-2.124 -0.907 -3.813
-6.078 -0.235 -4.198
-6.937 0.029 -1.778
-6.708 -2.545 -1.771
-4.757 -2.518 -3.633
-4.074 -0.933 -1.950

***

No. 7
PBE CrSnSe2, optimized geometry; space-group type = P3m1, No. 156; ΔE_f (raw) = -0.270 eV/atom; E = -5.4189 eV/atom; M_tot = 4.0 μB per formula unit; density = 5.08 g/cm3; DOS at the Fermi energy = 0.53 states/eV per atom
1.0
-1.722 3.338 1.587
-2.215 -3.382 -0.527
1.868 -2.291 6.844
Cr Sn Se
1 1 2
Cartesian
-1.264 -2.107 3.058
1.813 -2.223 6.642
-0.631 -2.883 5.378
-1.319 0.402 2.960

***

No. 8
PBE AcDyLu2, optimized geometry; space-group type = P4/mmm, No. 123; E = -4.3465 eV/atom; M_tot = 0.0 μB per formula unit; density = 9.12 g/cm3; calculated formation energy = 2.1 kcal/mol of atoms; DOS at the Fermi energy = 1.38 states/eV per atom
1.0
-2.442 -1.579 2.896
0.132 -3.648 -1.878
6.420 -1.995 4.326
Ac Lu Dy
1 2 1
Cartesian
2.055 -3.611 2.672
4.961 -1.542 3.343
1.459 -0.453 0.983
-1.155 -2.613 0.509

***

No. 9
PBE TiHgH3, optimized geometry; space-group type = Pm-3m, No. 221; E = -3.5556 eV/atom; M_tot = 0.5 μB per formula unit; density = 8.35 g/cm3; DOS at the Fermi energy = 0.50 states/eV per atom
1.0
-2.416 1.969 1.964
1.457 -1.320 3.116
2.369 2.820 0.087
H Hg Ti
3 1 1
Cartesian
0.729 -0.660 1.558
1.184 1.410 0.044
-1.208 0.984 0.982
0.705 1.735 2.583
0.000 0.000 0.000